! ZrCd2I | Alexandria | PBEsol | optimized geometry; values from VASP
! Space-group type = No. 225
! Formation energy (no corrections) = 0.57 eV per atom
&SYSTEM
  ibrav = 0, nat = 4, ntyp = 3
/
ATOMIC_SPECIES
Zr 91.22 Zr.upf
Cd 112.41 Cd.upf
I 126.90 I.upf
CELL_PARAMETERS angstrom
-5.013 -1.019 -0.844
-1.415 -4.566 -2.008
-2.471 -3.475 2.949
ATOMIC_POSITIONS crystal
Zr 0.000 0.000 0.000
Cd 0.250 0.250 0.250
I 0.500 0.500 0.500
Cd 0.750 0.750 0.750

---

! LaYI2 | Alexandria | PBEsol | optimized geometry; values from VASP
! Space-group type = No. 122
! Formation energy (no corrections) = -0.31 eV per atom
&SYSTEM
  ibrav = 0, nat = 8, ntyp = 3
/
ATOMIC_SPECIES
I 126.90 I.upf
Y 88.91 Y.upf
La 138.91 La.upf
CELL_PARAMETERS angstrom
7.141 0.000 0.000
0.000 7.141 0.000
-3.570 -3.570 6.626
ATOMIC_POSITIONS crystal
I 0.125 0.146 0.750
Y 0.500 0.500 0.000
La 0.250 0.750 0.500
I 0.396 0.875 0.250
Y 0.750 0.250 0.500
I 0.625 0.604 0.750
I 0.854 0.375 0.250
La 0.000 0.000 0.000

---

! ScTcMo4 | Alexandria | PBEsol | optimized geometry; values from VASP
! Space-group type = No. 216
! Electronic total energy = -63.77 eV for the cell shown
&SYSTEM
  ibrav = 0, nat = 6, ntyp = 3
/
ATOMIC_SPECIES
Tc 98.00 Tc.upf
Sc 44.96 Sc.upf
Mo 95.94 Mo.upf
CELL_PARAMETERS angstrom
5.185 0.000 0.000
2.592 4.490 0.000
2.592 1.497 4.233
ATOMIC_POSITIONS crystal
Tc 0.000 0.000 0.000
Sc 0.750 0.750 0.750
Mo 0.375 0.375 0.875
Mo 0.875 0.375 0.375
Mo 0.375 0.375 0.375
Mo 0.375 0.875 0.375

---

! CaTaSi3 | Alexandria | PBEsol | optimized geometry; values from VASP
! Space-group type = No. 221
! Formation energy (no corrections) = 0.08 eV per atom
&SYSTEM
  ibrav = 0, nat = 5, ntyp = 3
/
ATOMIC_SPECIES
Ca 40.08 Ca.upf
Ta 180.95 Ta.upf
Si 28.09 Si.upf
CELL_PARAMETERS angstrom
4.831 0.000 0.000
0.000 4.831 0.000
0.000 0.000 4.831
ATOMIC_POSITIONS crystal
Ca 0.500 0.500 0.500
Ta 0.000 0.000 0.000
Si 0.000 0.000 0.500
Si 0.500 0.000 0.000
Si 0.000 0.500 0.000

---

! Li2CoPt | Alexandria | PBEsol | optimized geometry; values from VASP
! Space-group type = No. 12
! Offset from the most stable computed form = 0 meV/atom
&SYSTEM
  ibrav = 0, nat = 4, ntyp = 3
/
ATOMIC_SPECIES
Li 6.94 Li.upf
Pt 195.08 Pt.upf
Co 58.93 Co.upf
CELL_PARAMETERS angstrom
2.623 0.000 0.000
0.000 4.388 -0.058
-1.312 -0.840 4.287
ATOMIC_POSITIONS crystal
Li 0.749 0.749 0.497
Pt 0.500 0.000 0.000
Co 0.000 0.500 0.000
Li 0.251 0.251 0.503

---

! ZrCdOs2 | Alexandria | PBEsol | optimized geometry; values from VASP
! Space-group type = No. 25
! Electronic total energy = -34.23 eV for the cell shown
&SYSTEM
  ibrav = 0, nat = 4, ntyp = 3
/
ATOMIC_SPECIES
Os 190.23 Os.upf
Zr 91.22 Zr.upf
Cd 112.41 Cd.upf
CELL_PARAMETERS angstrom
2.811 0.000 0.000
0.000 3.746 0.000
0.000 0.000 6.638
ATOMIC_POSITIONS crystal
Os 0.000 0.500 0.207
Os 0.500 0.000 0.046
Zr 0.500 0.000 0.471
Cd 0.000 0.500 0.777

---

! Zn3Au | Alexandria | PBEsol | optimized geometry; values from VASP
! Space-group type = No. 221
! Electronic total energy = -9.20 eV for the cell shown
&SYSTEM
  ibrav = 0, nat = 4, ntyp = 2
/
ATOMIC_SPECIES
Zn 65.41 Zn.upf
Au 196.97 Au.upf
CELL_PARAMETERS angstrom
-2.981 -2.046 1.394
1.729 -0.159 3.464
-1.772 3.287 1.035
ATOMIC_POSITIONS crystal
Zn 0.500 0.500 0.000
Zn 0.500 0.000 0.500
Zn 0.000 0.500 0.500
Au 0.000 0.000 0.000

---

! ScMo | Alexandria | PBEsol | optimized geometry; values from VASP
! Space-group type = No. 74
! Offset from the most stable computed form = 62 meV/atom
&SYSTEM
  ibrav = 0, nat = 4, ntyp = 2
/
ATOMIC_SPECIES
Sc 44.96 Sc.upf
Mo 95.94 Mo.upf
CELL_PARAMETERS angstrom
-0.843 -2.394 2.076
4.533 -1.528 0.078
-0.949 4.805 2.567
ATOMIC_POSITIONS crystal
Sc 0.389 0.139 0.777
Mo 0.846 0.596 0.692
Mo 0.154 0.404 0.308
Sc 0.611 0.861 0.223

---

| no. | M_tot (μB per formula unit) |
| --- | --- |
| 1 | 0.65 |
| 2 | 0.11 |
| 3 | 0.00 |
| 4 | 0.00 |
| 5 | 1.13 |
| 6 | 0.00 |
| 7 | 0.00 |
| 8 | 0.00 |